(1)
This record from Alexandria via LeMat-Bulk describes a relaxed CaAcSbPd crystal. The functional is GGA-PBE.

## Properties
Total magnetization: 0.0 Bohr magnetons per cell
Final energy: -4.67 eV per atom

Cell lengths 5.450, 5.450, 5.450 Å; angles 60.00, 60.00, 60.00 degrees
Fractional positions:
Sb: 0.500 0.500 0.500
Ac: 0.250 0.250 0.250
Ca: 0.750 0.750 0.750
Pd: 0.000 0.000 0.000

---

(2)
This record from Alexandria via LeMat-Bulk describes a relaxed CaAcPdSe crystal. The functional is GGA-PBE.

## Properties
Total magnetization: 0.0 Bohr magnetons per cell
Final energy: -4.71 eV per atom

Cell lengths 5.296, 5.296, 5.296 Å; angles 60.00, 60.00, 60.00 degrees
Fractional positions:
Ac: 0.750 0.750 0.750
Ca: 0.250 0.250 0.250
Se: 0.500 0.500 0.500
Pd: 0.000 0.000 0.000

---

(3)
This record from Alexandria via LeMat-Bulk describes a relaxed Ca2Ac2Si4Pd crystal. The functional is GGA-PBE.

## Properties
Total magnetization: 0.0 Bohr magnetons per cell
Final energy: -4.74 eV per atom

Cell lengths 6.712, 6.712, 6.712 Å; angles 96.53, 116.31, 116.31 degrees
Fractional positions:
Ca: 0.000 0.683 0.683
Ca: 0.000 0.317 0.317
Ac: 0.500 0.750 0.250
Ac: 0.500 0.250 0.750
Si: 0.000 0.757 0.243
Si: 0.514 0.757 0.757
Si: 0.000 0.243 0.757
Si: 0.486 0.243 0.243
Pd: 0.000 0.000 0.000

---

(4)
This record from Alexandria via LeMat-Bulk describes a relaxed CaAcSi2Pd2 crystal. The functional is GGA-PBE.

## Properties
Total magnetization: 0.0 Bohr magnetons per cell
Final energy: -5.34 eV per atom

Cell lengths 4.223, 4.223, 8.836 Å; angles 90.00, 90.00, 120.00 degrees
Fractional positions:
Ca: 0.000 0.000 0.500
Ac: 0.000 0.000 0.000
Si: 0.667 0.333 0.745
Si: 0.333 0.667 0.255
Pd: 0.667 0.333 0.268
Pd: 0.333 0.667 0.732

---

(5)
This record from Alexandria via LeMat-Bulk describes a relaxed CaAcSi2Pd5 crystal. The functional is GGA-PBE.

## Properties
Total magnetization: 0.0 Bohr magnetons per cell
Final energy: -5.57 eV per atom

Cell lengths 4.320, 4.320, 9.068 Å; angles 90.00, 90.00, 90.00 degrees
Fractional positions:
Ca: 0.000 0.000 0.000
Ac: 0.000 0.000 0.500
Si: 0.500 0.500 0.132
Si: 0.500 0.500 0.868
Pd: 0.000 0.500 0.257
Pd: 0.500 0.000 0.257
Pd: 0.000 0.500 0.743
Pd: 0.500 0.000 0.743
Pd: 0.500 0.500 0.500

---

(6)
This record from Alexandria via LeMat-Bulk describes a relaxed CaAcSn2Pd4 crystal. The functional is GGA-PBE.

## Properties
Total magnetization: 0.0 Bohr magnetons per cell
DFT formation energy: -0.7618 eV/atom
Final energy: -5.12 eV per atom

Cell lengths 4.649, 4.649, 10.136 Å; angles 76.74, 76.74, 60.00 degrees
Fractional positions:
Ca: 0.500 0.500 0.500
Ac: 0.000 0.000 0.000
Sn: 0.757 0.757 0.729
Sn: 0.243 0.243 0.271
Pd: 0.399 0.399 0.803
Pd: 0.893 0.893 0.322
Pd: 0.107 0.107 0.678
Pd: 0.601 0.601 0.197